Material: Tl2BO3
Method: DFT, PBE-GGA
State: relaxed

abc: 6.7382 5.9478 5.9478
angles: 83.42 65.70 65.70
Last column: nearest neighbours and their distance in Å.
Positions (direct):
B: 0.2500 0.0332 0.9668  3 O 1.39-1.40
O: 0.1851 0.1043 0.2100  1 B 1.39
O: 0.7500 0.7902 0.2098  1 B 1.40
B: 0.7500 0.9668 0.0332  3 O 1.39-1.40
Tl: 0.8431 0.4723 0.7928  3 O 2.44-2.53
Tl: 0.6569 0.2072 0.5277  3 O 2.44-2.53
Tl: 0.3431 0.7928 0.4723  3 O 2.44-2.53
O: 0.6851 0.2100 0.1043  1 B 1.39
O: 0.8149 0.8957 0.7900  1 B 1.39
O: 0.3149 0.7900 0.8957  1 B 1.39
Tl: 0.1569 0.5277 0.2072  3 O 2.44-2.53
O: 0.2500 0.2098 0.7902  1 B 1.40

Output
* formation energy from raw total energies: -1.3211 eV per atom
* M_tot: 0.00 μB per cell
* space-group type: No. 15
* crystal system: monoclinic